Record 1
First-principles (PBE) data for a relaxed structure of Pm2Sm4Tl3O2, as listed in Alexandria.

Output
Fermi-level density of states	6.3	states/eV per cell
ρ	8.67	g cm⁻³
ΔE_f (raw)	-1297	kJ/mol of formula units

Lattice parameters (Å, degrees): 13.1900 13.1900 13.1900 159.01 159.01 29.85
Closest atoms and distances in Å follow each position.
Fractional coordinates of all 11 atoms:
1 Pm 0.1971 0.1971 0.0000  1 O 2.43
2 Pm 0.8029 0.8029 0.0000  1 O 2.43
3 Sm 0.0849 0.5849 0.5000  2 O 2.44
4 Sm 0.4151 0.9151 0.5000  2 O 2.44
5 Sm 0.5849 0.0849 0.5000  2 O 2.44
6 Sm 0.9151 0.4151 0.5000  2 O 2.44
7 Tl 0.3241 0.3241 0.0000  5 Pm 3.24-3.44, 4 Sm 3.34
8 Tl 0.5000 0.5000 0.0000  8 Sm 3.23
9 Tl 0.6759 0.6759 0.0000  5 Pm 3.24-3.44, 4 Sm 3.34
10 O 0.1018 0.1018 0.0000  1 Pm 2.43, 4 Sm 2.44
11 O 0.8982 0.8982 0.0000  1 Pm 2.43, 4 Sm 2.44


Record 2
First-principles (PBE) data for a relaxed structure of NiSb2Ru, as listed in Alexandria.

Output
Fermi-level density of states	12.3	states/eV per cell
ρ	6.82	g cm⁻³
energy relative to the lowest polymorph listed for this composition	363	meV/atom
ΔE_f (raw)	121	kJ/mol of formula units

Lattice parameters (Å, degrees): 5.8408 5.8408 11.5064 90.00 90.00 90.00
Closest atoms and distances in Å follow each position.
Fractional coordinates of all 16 atoms:
1 Ni 0.0000 0.0000 0.0000  4 Sb 2.48
2 Ni 0.0000 0.5000 0.2500  4 Sb 2.48
3 Ni 0.5000 0.0000 0.7500  4 Sb 2.48
4 Ni 0.5000 0.5000 0.5000  4 Sb 2.48
5 Sb 0.2398 0.2500 0.1250  2 Ni 2.48, 2 Ru 2.55
6 Sb 0.2500 0.7398 0.3750  2 Ni 2.48, 2 Ru 2.55
7 Sb 0.2500 0.7602 0.8750  2 Ni 2.48, 2 Ru 2.55
8 Sb 0.2602 0.2500 0.6250  2 Ni 2.48, 2 Ru 2.55
9 Sb 0.7398 0.7500 0.6250  2 Ni 2.48, 2 Ru 2.55
10 Sb 0.7500 0.2398 0.8750  2 Ni 2.48, 2 Ru 2.55
11 Sb 0.7500 0.2602 0.3750  2 Ni 2.48, 2 Ru 2.55
12 Sb 0.7602 0.7500 0.1250  2 Ni 2.48, 2 Ru 2.55
13 Ru 0.0000 0.0000 0.5000  4 Sb 2.55
14 Ru 0.0000 0.5000 0.7500  4 Sb 2.55
15 Ru 0.5000 0.0000 0.2500  4 Sb 2.55
16 Ru 0.5000 0.5000 0.0000  4 Sb 2.55